Crystalline Na3LiMn2O6 at its relaxed geometry, computed with GGA+U.

abc: 5.1623 5.1623 5.6177
angles: 98.88 98.88 120.00
Closest atoms and distances in Å follow each position.
Fractional positions:
Li 0.0000 0.0000 0.0000  6 O 2.13-2.14
O 0.9338 0.5739 0.8024  2 Mn 1.96, 1 Li 2.14
O 0.5739 0.9338 0.8024  2 Mn 1.96, 1 Li 2.14
O 0.0662 0.4261 0.1976  2 Mn 1.96, 1 Li 2.14
O 0.7074 0.7074 0.1971  2 Mn 1.97, 1 Li 2.13
O 0.4261 0.0662 0.1976  2 Mn 1.96, 1 Li 2.14
O 0.2926 0.2926 0.8029  2 Mn 1.97, 1 Li 2.13
Na 0.5000 0.5000 0.5000  6 O 2.27-2.41
Na 0.8413 0.1587 0.5000  6 O 2.30-2.42
Na 0.1587 0.8413 0.5000  6 O 2.30-2.42
Mn 0.3329 0.6671 0.0000  6 O 1.96-1.97
Mn 0.6671 0.3329 0.0000  6 O 1.96-1.97

The calculation puts the volume at 10.3 Å³/atom. For the total magnetization, the calculation gives 6.0 Bohr magnetons per cell. As for the density of states at the Fermi level: 0.00 states/eV/cell. As for the total energy: -70.29 eV per cell.